# 1
Sr2CoSe: optimized geometry, GGA-PBE.

a b c (Å): 5.237 5.237 5.237
angles (deg): 60.00 60.00 60.00
Fractional coordinates of all 4 atoms:
Sr 0.000 0.000 0.000
Sr 0.250 0.250 0.250
Co 0.500 0.500 0.500
Se 0.750 0.750 0.750

Results
space group	F-43m
calculated total energy	-3.34	eV per atom

---

# 2
Rb2NiSeCl6: optimized geometry, GGA-PBE.

a b c (Å): 7.123 7.123 7.123
angles (deg): 119.15 119.15 91.47
Fractional coordinates of all 10 atoms:
Rb 0.250 0.750 0.500
Rb 0.750 0.250 0.500
Ni 0.000 0.000 0.000
Se 0.500 0.500 0.000
Cl 0.226 0.226 0.453
Cl 0.226 0.774 0.000
Cl 0.249 0.249 0.000
Cl 0.751 0.751 0.000
Cl 0.774 0.226 0.000
Cl 0.774 0.774 0.547

Results
space group	I4/mmm
calculated total energy	-3.19	eV per atom

---

# 3
PuH4Pt: optimized geometry, GGA-PBE.

a b c (Å): 4.631 4.631 7.289
angles (deg): 106.22 106.22 58.26
Fractional coordinates of all 12 atoms:
Pu 0.219 0.781 0.750
Pu 0.781 0.219 0.250
H 0.150 0.267 0.610
H 0.265 0.671 0.082
H 0.267 0.150 0.110
H 0.329 0.735 0.418
H 0.671 0.265 0.582
H 0.733 0.850 0.890
H 0.735 0.329 0.918
H 0.850 0.733 0.390
Pt 0.000 0.500 0.000
Pt 0.500 0.000 0.500

Results
space group	C2/c
calculated total energy	-5.97	eV per atom

---

# 4
Na2TlIn: optimized geometry, GGA-PBE.

a b c (Å): 11.050 11.050 11.050
angles (deg): 18.19 18.19 18.19
Fractional coordinates of all 4 atoms:
Na 0.000 0.000 0.000
Na 0.165 0.165 0.165
Tl 0.583 0.583 0.583
In 0.749 0.749 0.749

Results
space group	R3m
calculated total energy	-1.99	eV per atom

---

# 5
Cr3Co5Te12: optimized geometry, GGA-PBE.

a b c (Å): 13.480 13.480 13.480
angles (deg): 109.47 109.47 109.47
Fractional coordinates of all 80 atoms:
Cr 0.125 0.250 0.375
Cr 0.125 0.375 0.750
Cr 0.250 0.375 0.125
Cr 0.250 0.875 0.625
Cr 0.375 0.125 0.250
Cr 0.375 0.750 0.125
Cr 0.625 0.250 0.875
Cr 0.625 0.875 0.750
Cr 0.750 0.125 0.375
Cr 0.750 0.625 0.875
Cr 0.875 0.625 0.250
Cr 0.875 0.750 0.625
Co 0.000 0.000 0.000
Co 0.000 0.000 0.500
Co 0.000 0.500 0.000
Co 0.000 0.500 0.500
Co 0.125 0.750 0.875
Co 0.125 0.875 0.250
Co 0.250 0.125 0.875
Co 0.250 0.625 0.375
Co 0.375 0.250 0.625
Co 0.375 0.625 0.750
Co 0.500 0.000 0.000
Co 0.500 0.000 0.500
Co 0.500 0.500 0.000
Co 0.500 0.500 0.500
Co 0.625 0.375 0.250
Co 0.625 0.750 0.375
Co 0.750 0.375 0.625
Co 0.750 0.875 0.125
Co 0.875 0.125 0.750
Co 0.875 0.250 0.125
Te 0.036 0.213 0.120
Te 0.036 0.324 0.916
Te 0.084 0.620 0.407
Te 0.084 0.964 0.676
Te 0.093 0.713 0.676
Te 0.093 0.880 0.416
Te 0.120 0.036 0.213
Te 0.120 0.584 0.907
Te 0.176 0.213 0.593
Te 0.176 0.464 0.584
Te 0.213 0.120 0.036
Te 0.213 0.593 0.176
Te 0.287 0.324 0.907
Te 0.287 0.464 0.380
Te 0.324 0.907 0.287
Te 0.324 0.916 0.036
Te 0.380 0.287 0.464
Te 0.380 0.593 0.916
Te 0.407 0.084 0.620
Te 0.407 0.824 0.787
Te 0.416 0.093 0.880
Te 0.416 0.824 0.536
Te 0.464 0.380 0.287
Te 0.464 0.584 0.176
Te 0.536 0.416 0.824
Te 0.536 0.620 0.713
Te 0.584 0.176 0.464
Te 0.584 0.907 0.120
Te 0.593 0.176 0.213
Te 0.593 0.916 0.380
Te 0.620 0.407 0.084
Te 0.620 0.713 0.536
Te 0.676 0.084 0.964
Te 0.676 0.093 0.713
Te 0.713 0.536 0.620
Te 0.713 0.676 0.093
Te 0.787 0.407 0.824
Te 0.787 0.880 0.964
Te 0.824 0.536 0.416
Te 0.824 0.787 0.407
Te 0.880 0.416 0.093
Te 0.880 0.964 0.787
Te 0.907 0.120 0.584
Te 0.907 0.287 0.324
Te 0.916 0.036 0.324
Te 0.916 0.380 0.593
Te 0.964 0.676 0.084
Te 0.964 0.787 0.880

Results
space group	Ia-3d
calculated total energy	-5.03	eV per atom

---

# 6
CrFeI: optimized geometry, GGA-PBE.

a b c (Å): 3.579 6.040 6.673
angles (deg): 110.50 105.34 90.21
Fractional coordinates of all 6 atoms:
Cr 0.000 0.000 0.000
Cr 0.430 0.179 0.857
Fe 0.347 0.725 0.692
Fe 0.787 0.914 0.570
I 0.215 0.262 0.452
I 0.553 0.653 0.116

Results
space group	P1
calculated total energy	-6.04	eV per atom

---

# 7
BaSr2Ag2: optimized geometry, GGA-PBE.

a b c (Å): 6.318 5.087 12.414
angles (deg): 90.00 98.79 90.00
Fractional coordinates of all 10 atoms:
Ba 0.087 0.250 0.283
Ba 0.913 0.750 0.717
Sr 0.250 0.250 0.964
Sr 0.395 0.250 0.618
Sr 0.605 0.750 0.382
Sr 0.750 0.750 0.036
Ag 0.125 0.750 0.481
Ag 0.283 0.750 0.135
Ag 0.717 0.250 0.865
Ag 0.875 0.250 0.519

Results
space group	P2_1/m
calculated total energy	-2.41	eV per atom

---

# 8
CeGd2Al: optimized geometry, GGA-PBE.

a b c (Å): 5.346 5.346 5.346
angles (deg): 60.00 60.00 60.00
Fractional coordinates of all 4 atoms:
Ce 0.000 0.000 0.000
Gd 0.250 0.250 0.250
Gd 0.750 0.750 0.750
Al 0.500 0.500 0.500

Results
space group	Fm-3m
calculated total energy	-9.49	eV per atom

---

# 9
NaThIn2Br8: optimized geometry, GGA-PBE.

a b c (Å): 6.938 9.149 7.227
angles (deg): 90.00 91.36 90.00
Fractional coordinates of all 12 atoms:
Na 0.000 0.000 0.000
Th 0.000 0.500 0.000
In 0.500 0.237 0.500
In 0.500 0.763 0.500
Br 0.230 0.268 0.854
Br 0.230 0.732 0.854
Br 0.235 0.500 0.328
Br 0.283 0.000 0.332
Br 0.717 0.000 0.668
Br 0.765 0.500 0.672
Br 0.770 0.268 0.146
Br 0.770 0.732 0.146

Results
space group	P2/m
calculated total energy	-3.52	eV per atom

---

# 10
Ta2InAg: optimized geometry, GGA-PBE.

a b c (Å): 3.493 3.493 6.344
angles (deg): 90.00 90.00 90.00
Fractional coordinates of all 4 atoms:
Ta 0.000 0.000 0.000
Ta 0.500 0.500 0.198
In 0.500 0.500 0.719
Ag 0.000 0.000 0.475

Results
space group	P4mm
calculated total energy	-7.07	eV per atom

---

# 11
RbReBiSb2: optimized geometry, GGA-PBE.

a b c (Å): 5.841 5.841 6.781
angles (deg): 90.00 90.00 90.00
Fractional coordinates of all 5 atoms:
Rb 0.000 0.000 0.000
Re 0.500 0.500 0.000
Bi 0.000 0.000 0.500
Sb 0.000 0.500 0.500
Sb 0.500 0.000 0.500

Results
space group	P4/mmm
calculated total energy	-3.39	eV per atom

---

# 12
SmTm3B4O12: optimized geometry, GGA-PBE.

a b c (Å): 6.456 6.456 6.456
angles (deg): 102.61 102.61 102.61
Fractional coordinates of all 20 atoms:
Sm 0.000 0.000 0.000
Tm 0.000 0.537 0.463
Tm 0.463 0.000 0.537
Tm 0.537 0.463 0.000
B 0.038 0.500 0.962
B 0.500 0.500 0.500
B 0.500 0.962 0.038
B 0.962 0.038 0.500
O 0.028 0.636 0.822
O 0.099 0.901 0.500
O 0.178 0.364 0.972
O 0.363 0.637 0.500
O 0.364 0.972 0.178
O 0.500 0.099 0.901
O 0.500 0.363 0.637
O 0.636 0.822 0.028
O 0.637 0.500 0.363
O 0.822 0.028 0.636
O 0.901 0.500 0.099
O 0.972 0.178 0.364

Results
space group	R32
calculated total energy	-8.32	eV per atom

---

# 13
LaMg2GaNi: optimized geometry, GGA-PBE.

a b c (Å): 4.825 4.825 4.670
angles (deg): 90.00 90.00 90.00
Fractional coordinates of all 5 atoms:
La 0.000 0.000 0.000
Mg 0.000 0.500 0.500
Mg 0.500 0.000 0.500
Ga 0.500 0.500 0.000
Ni 0.500 0.500 0.500

Results
space group	P4/mmm
calculated total energy	-3.67	eV per atom

---

# 14
Ce3Sb2S: optimized geometry, GGA-PBE.

a b c (Å): 7.546 7.546 7.522
angles (deg): 99.55 99.55 119.85
Fractional coordinates of all 12 atoms:
Ce 0.000 0.500 0.000
Ce 0.148 0.301 0.495
Ce 0.301 0.148 0.995
Ce 0.500 0.000 0.500
Ce 0.699 0.852 0.005
Ce 0.852 0.699 0.505
Sb 0.258 0.742 0.750
Sb 0.418 0.582 0.250
Sb 0.582 0.418 0.750
Sb 0.742 0.258 0.250
S 0.087 0.913 0.250
S 0.913 0.087 0.750

Results
space group	C2/c
calculated total energy	-6.34	eV per atom

---

# 15
KIn4P: optimized geometry, GGA-PBE.

a b c (Å): 6.257 6.257 6.257
angles (deg): 60.00 60.00 60.00
Fractional coordinates of all 6 atoms:
K 0.000 0.000 0.000
In 0.376 0.376 0.376
In 0.376 0.376 0.873
In 0.376 0.873 0.376
In 0.873 0.376 0.376
P 0.750 0.750 0.750

Results
space group	F-43m
calculated total energy	-2.67	eV per atom

---

# 16
MnGe2SeBr: optimized geometry, GGA-PBE.

a b c (Å): 5.280 5.280 4.640
angles (deg): 90.00 90.00 90.00
Fractional coordinates of all 5 atoms:
Mn 0.000 0.000 0.000
Ge 0.000 0.500 0.500
Ge 0.500 0.000 0.500
Se 0.500 0.500 0.000
Br 0.000 0.000 0.500

Results
space group	P4/mmm
calculated total energy	-3.78	eV per atom

---

# 17
Rb2BPbF6: optimized geometry, GGA-PBE.

a b c (Å): 6.448 6.448 6.448
angles (deg): 123.90 123.90 83.36
Fractional coordinates of all 10 atoms:
Rb 0.250 0.750 0.500
Rb 0.750 0.250 0.500
B 0.000 0.000 0.000
Pb 0.500 0.500 0.000
F 0.149 0.149 0.000
F 0.213 0.213 0.425
F 0.213 0.787 0.000
F 0.787 0.213 0.000
F 0.787 0.787 0.575
F 0.851 0.851 0.000

Results
space group	I4/mmm
calculated total energy	-4.57	eV per atom

---

# 18
CaSmPt: optimized geometry, GGA-PBE.

a b c (Å): 6.887 7.392 6.878
angles (deg): 90.00 98.20 90.00
Fractional coordinates of all 12 atoms:
Ca 0.074 0.232 0.006
Ca 0.074 0.268 0.506
Ca 0.926 0.732 0.494
Ca 0.926 0.768 0.994
Sm 0.408 0.615 0.215
Sm 0.408 0.885 0.715
Sm 0.592 0.115 0.285
Sm 0.592 0.385 0.785
Pt 0.222 0.553 0.812
Pt 0.222 0.947 0.312
Pt 0.778 0.053 0.688
Pt 0.778 0.447 0.188

Results
space group	P2_1/c
calculated total energy	-5.04	eV per atom

---

# 19
TlTcAs2: optimized geometry, GGA-PBE.

a b c (Å): 4.771 4.771 3.390
angles (deg): 90.00 90.00 90.00
Fractional coordinates of all 4 atoms:
Tl 0.000 0.000 0.000
Tc 0.500 0.500 0.000
As 0.000 0.500 0.500
As 0.500 0.000 0.500

Results
space group	P4/mmm
calculated total energy	-4.80	eV per atom

---

# 20
CaTaCoCl2: optimized geometry, GGA-PBE.

a b c (Å): 4.693 4.693 6.659
angles (deg): 90.00 90.00 90.00
Fractional coordinates of all 5 atoms:
Ca 0.000 0.000 0.000
Ta 0.000 0.000 0.500
Co 0.500 0.500 0.000
Cl 0.000 0.500 0.500
Cl 0.500 0.000 0.500

Results
space group	P4/mmm
calculated total energy	-4.46	eV per atom